K3Ho2CrO6 | the Alexandria database | PBE+U | optimized geometry; space-group type = C2/m; E = -78.6 eV per formula unit
1.0
2.899 -5.021 0.000
2.899 5.021 0.000
-1.927 0.000 6.202
K Ho Cr O
3 2 1 6
Cartesian
0.000 0.000 0.000
2.899 1.638 0.000
2.899 -1.638 0.000
1.935 3.346 3.101
1.935 -3.346 3.101
1.935 0.000 3.101
1.028 1.571 1.977
0.121 0.000 4.221
1.028 -1.571 1.977
2.843 1.571 4.225
3.749 0.000 1.982
2.843 -1.571 4.225



K2HoCrO4 | the Alexandria database | PBE+U | optimized geometry; space-group type = P2/m; E = -51.9 eV per formula unit
1.0
5.665 0.000 0.000
0.000 3.313 0.000
-1.925 0.000 6.167
K Ho Cr O
2 1 1 4
Cartesian
0.000 0.000 0.000
2.833 1.657 0.000
-0.962 1.657 3.083
1.870 0.000 3.083
0.084 0.000 4.208
1.035 1.657 1.996
2.706 1.657 4.171
3.657 0.000 1.958